Record 1
# SmTm3Pd, optimized geometry, DFT GGA-PBE
data_SmTm3Pd
_chemical_formula_sum 'Sm4 Tm12 Pd4'
_symmetry_space_group_name_H-M 'C 1 2/m 1'
_symmetry_Int_Tables_number 12
_cell_length_a 11.470
_cell_length_b 8.335
_cell_length_c 7.749
_cell_angle_alpha 90.00
_cell_angle_beta 127.00
_cell_angle_gamma 90.00
loop_
_symmetry_equiv_pos_as_xyz
'x,y,z'
'-x,-y,-z'
'-x,y,-z'
'x,-y,z'
'x+1/2,y+1/2,z'
'-x+1/2,-y+1/2,-z'
'-x+1/2,y+1/2,-z'
'x+1/2,-y+1/2,z'
loop_
_atom_site_label
_atom_site_type_symbol
_atom_site_fract_x
_atom_site_fract_y
_atom_site_fract_z
Sm1 Sm 0.043 0.000 0.308
Tm1 Tm 0.074 0.500 0.273
Tm2 Tm 0.200 0.299 0.734
Pd1 Pd 0.224 0.500 0.072
# DOS at the Fermi energy = 27.8 states/eV per cell
# E_form = -27.6 kJ per mole of atoms
# Excess energy over the best structure of this formula in the dataset = 0 meV/atom
# Spin magnetization = 0.00 μB/cell

---

Record 2
# SmTm5Pd6, optimized geometry, DFT GGA-PBE
data_SmTm5Pd6
_chemical_formula_sum 'Sm2 Tm10 Pd12'
_symmetry_space_group_name_H-M 'C 1 2/m 1'
_symmetry_Int_Tables_number 12
_cell_length_a 15.721
_cell_length_b 6.828
_cell_length_c 4.967
_cell_angle_alpha 90.00
_cell_angle_beta 108.24
_cell_angle_gamma 90.00
loop_
_symmetry_equiv_pos_as_xyz
'x,y,z'
'-x,-y,-z'
'-x,y,-z'
'x,-y,z'
'x+1/2,y+1/2,z'
'-x+1/2,-y+1/2,-z'
'-x+1/2,y+1/2,-z'
'x+1/2,-y+1/2,z'
loop_
_atom_site_label
_atom_site_type_symbol
_atom_site_fract_x
_atom_site_fract_y
_atom_site_fract_z
Sm1 Sm 0.000 0.000 0.000
Tm1 Tm 0.000 0.500 0.000
Tm2 Tm 0.167 0.000 0.667
Tm3 Tm 0.167 0.500 0.667
Pd1 Pd 0.000 0.260 0.500
Pd2 Pd 0.171 0.254 0.171
# DOS at the Fermi energy = 13.1 states/eV per cell
# E_form = -88.0 kJ per mole of atoms
# Spin magnetization = 0.00 μB/cell